(1)
Here is a relaxed structure of CaZrRh2 from the Alexandria database. Energies are from PBE.

## Properties
DOS at the Fermi energy in states/eV/cell: 1.37
E in eV/atom: -7.0004
Spin magnetization in μB per atom: 0.00

```
CaZrRh2
1.0
3.2881 0.0000 0.0000
0.0000 3.3268 0.0082
0.0000 3.3188 7.0415
Ca Rh Zr
1 2 1
direct
0.5000 0.7500 0.7500
0.0000 0.9663 0.0335
0.0000 0.5337 0.4665
0.5000 0.2500 0.2500
```

---

(2)
Here is a relaxed structure of BeFe2Br from the Alexandria database. Energies are from PBE.

## Properties
DOS at the Fermi energy in states/eV/cell: 1.09
Spin magnetization in μB per atom: 1.25
Uncorrected formation energy in eV/atom: 0.33

```
BeFe2Br
1.0
6.0249 0.0059 0.0036
5.0152 3.3386 0.0036
5.0152 1.5193 2.9729
Be Fe Br
1 2 1
direct
0.2500 0.2500 0.2500
0.9652 0.9652 0.9652
0.5348 0.5348 0.5348
0.7500 0.7500 0.7500
```